Record 1
The following is a DFT calculation (PBE) of a relaxed MgBe2Pb crystal.

Values from the calculation:
**Energy above the lowest structure with this stoichiometry**: 72 meV/atom
**M_tot**: 0.00 μB per cell
**Fermi-level density of states**: 0.963 states/eV per cell
**Formation enthalpy at 0 K**: 0.359 eV per atom

Cell lengths 3.8412, 3.8913, 5.0057 Å; angles 67.16, 90.00, 90.00 degrees
With the nearest neighbours (Å) after each atom.
Fractional coordinates of all 4 atoms:
Pb: 0.5000 0.7700 0.8348  7 Be 2.69-2.86
Be: 0.0000 0.1795 0.0155  2 Be 2.17
Be: 0.5000 0.0698 0.2366  2 Be 2.17
Mg: 0.0000 0.4807 0.4131  7 Be 2.67-2.86

=====

Record 2
The following is a DFT calculation (PBE) of a relaxed MgBePb2 crystal.

Values from the calculation:
**Energy above the lowest structure with this stoichiometry**: 90 meV/atom
**M_tot**: 0.00 μB per cell
**Fermi-level density of states**: 2.328 states/eV per cell
**Formation enthalpy at 0 K**: 0.409 eV per atom

Cell lengths 4.1666, 4.7717, 4.7717 Å; angles 90.00, 90.00, 90.00 degrees
With the nearest neighbours (Å) after each atom.
Fractional coordinates of all 4 atoms:
Mg: 0.5000 0.0000 0.5000  8 Pb 3.17, 4 Be 3.37
Be: 0.5000 0.5000 0.0000  8 Pb 3.17, 4 Mg 3.37
Pb: 0.0000 0.0000 0.0000  4 Mg 3.17, 4 Be 3.17, 4 Pb 3.37
Pb: 0.0000 0.5000 0.5000  4 Be 3.17, 4 Mg 3.17, 4 Pb 3.37

=====

Record 3
The following is a DFT calculation (PBE) of a relaxed MgBePb2 crystal.

Values from the calculation:
**Energy above the lowest structure with this stoichiometry**: 39 meV/atom
**M_tot**: 0.00 μB per cell
**Fermi-level density of states**: 1.302 states/eV per cell
**Formation enthalpy at 0 K**: 0.357 eV per atom

Cell lengths 3.4084, 3.4084, 8.4092 Å; angles 90.00, 90.00, 102.45 degrees
With the nearest neighbours (Å) after each atom.
Fractional coordinates of all 4 atoms:
Mg: 0.5000 0.5000 0.7500  8 Pb 3.23-3.60, 4 Mg 3.41
Be: 0.5000 0.5000 0.2500  4 Pb 2.78
Pb: 0.0000 0.0000 0.4613  2 Be 2.78
Pb: 0.0000 0.0000 0.0387  2 Be 2.78

=====

Record 4
The following is a DFT calculation (PBE) of a relaxed MgBePb crystal.

Values from the calculation:
**M_tot**: 0.00 μB per cell
**Fermi-level density of states**: 1.395 states/eV per cell
**Formation enthalpy at 0 K**: 0.415 eV per atom

Cell lengths 6.4426, 6.4426, 6.4426 Å; angles 150.89, 150.89, 41.64 degrees
With the nearest neighbours (Å) after each atom.
Fractional coordinates of all 3 atoms:
Mg: 0.3645 0.3645 0.0000  4 Be 2.73
Pb: 0.6472 0.6472 0.0000  4 Be 2.98, 4 Pb 3.24
Be: 0.9883 0.9883 0.0000  4 Mg 2.73, 4 Pb 2.98

=====

Record 5
The following is a DFT calculation (PBE) of a relaxed RbMgBePb2 crystal.

Values from the calculation:
**M_tot**: 0.00 μB per cell
**Fermi-level density of states**: 4.523 states/eV per cell
**Formation enthalpy at 0 K**: 1.517 eV per atom

Cell lengths 6.2112, 6.2112, 5.1012 Å; angles 90.00, 90.00, 90.00 degrees
With the nearest neighbours (Å) after each atom.
Fractional coordinates of all 5 atoms:
Pb: 0.0000 0.5000 0.0000  2 Rb 3.11
Pb: 0.5000 0.0000 0.0000  2 Rb 3.11
Rb: 0.0000 0.0000 0.0000  2 Be 2.55
Mg: 0.5000 0.5000 0.5000  8 Pb 4.02, 4 Be 4.39
Be: 0.0000 0.0000 0.5000  2 Rb 2.55

=====

Record 6
The following is a DFT calculation (PBE) of a relaxed MgBeSbPb2 crystal.

Values from the calculation:
**ΔE_f (raw)**: 789 meV per atom
**M_tot**: 0.00 μB per cell
**Fermi-level density of states**: 4.300 states/eV per cell

Cell lengths 5.9268, 5.9268, 4.6316 Å; angles 90.00, 90.00, 90.00 degrees
With the nearest neighbours (Å) after each atom.
Fractional coordinates of all 5 atoms:
Be: 0.0000 0.0000 0.5000  2 Mg 2.32
Mg: 0.0000 0.0000 0.0000  2 Be 2.32
Sb: 0.5000 0.5000 0.5000  8 Pb 3.76, 4 Be 4.19
Pb: 0.5000 0.0000 0.0000  2 Mg 2.96
Pb: 0.0000 0.5000 0.0000  2 Mg 2.96

=====

Record 7
The following is a DFT calculation (PBE) of a relaxed Mg4BePd5 crystal.

Values from the calculation:
**M_tot**: 0.00 μB per cell
**Fermi-level density of states**: 3.585 states/eV per cell
**Formation enthalpy at 0 K**: -0.671 eV per atom

Cell lengths 2.9502, 2.9502, 17.3942 Å; angles 90.00, 90.00, 90.00 degrees
With the nearest neighbours (Å) after each atom.
Fractional coordinates of all 10 atoms:
Mg: 0.0000 0.0000 0.3952  8 Pd 2.77, 4 Mg 2.95
Mg: 0.0000 0.0000 0.6048  8 Pd 2.77, 4 Mg 2.95
Mg: 0.0000 0.0000 0.1858  8 Pd 2.77-2.79, 4 Mg 2.95
Mg: 0.0000 0.0000 0.8142  8 Pd 2.77-2.79, 4 Mg 2.95
Pd: 0.5000 0.5000 0.9206  4 Be 2.50, 1 Pd 2.76, 4 Mg 2.79
Pd: 0.5000 0.5000 0.2904  8 Mg 2.77, 4 Pd 2.95
Pd: 0.5000 0.5000 0.5000  8 Mg 2.77, 4 Pd 2.95
Pd: 0.5000 0.5000 0.0794  4 Be 2.50, 1 Pd 2.76, 4 Mg 2.79
Pd: 0.5000 0.5000 0.7096  8 Mg 2.77, 4 Pd 2.95
Be: 0.0000 0.0000 0.0000  8 Pd 2.50

=====

Record 8
The following is a DFT calculation (PBE) of a relaxed Mg3BePd crystal.

Values from the calculation:
**Energy above the lowest structure with this stoichiometry**: 48 meV/atom
**M_tot**: 0.00 μB per cell
**Fermi-level density of states**: 2.073 states/eV per cell
**Formation enthalpy at 0 K**: 0.355 eV per atom

Cell lengths 4.9354, 4.9354, 4.9354 Å; angles 90.00, 90.00, 90.00 degrees
With the nearest neighbours (Å) after each atom.
Fractional coordinates of all 5 atoms:
Pd: 0.0000 0.0000 0.0000  6 Mg 2.47
Mg: 0.5000 0.0000 0.0000  2 Pd 2.47
Mg: 0.0000 0.0000 0.5000  2 Pd 2.47
Mg: 0.0000 0.5000 0.0000  2 Pd 2.47
Be: 0.5000 0.5000 0.5000  12 Mg 3.49

=====

Record 9
The following is a DFT calculation (PBE) of a relaxed MgBe2Pd3 crystal.

Values from the calculation:
**M_tot**: 0.00 μB per cell
**Fermi-level density of states**: 1.199 states/eV per cell
**Formation enthalpy at 0 K**: -0.628 eV per atom

Cell lengths 2.8338, 2.8338, 9.6261 Å; angles 90.00, 90.00, 90.00 degrees
With the nearest neighbours (Å) after each atom.
Fractional coordinates of all 6 atoms:
Mg: 0.5000 0.5000 0.5000  8 Pd 2.81, 4 Mg 2.83
Pd: 0.0000 0.0000 0.7043  4 Be 2.43
Pd: 0.0000 0.0000 0.2957  4 Be 2.43
Pd: 0.0000 0.0000 0.0000  8 Be 2.49
Be: 0.5000 0.5000 0.1532  8 Pd 2.43-2.49
Be: 0.5000 0.5000 0.8468  8 Pd 2.43-2.49

=====

Record 10
The following is a DFT calculation (PBE) of a relaxed Mg5BePd6 crystal.

Values from the calculation:
**M_tot**: 0.00 μB per cell
**Fermi-level density of states**: 2.436 states/eV per cell
**Formation enthalpy at 0 K**: -0.666 eV per atom

Cell lengths 4.2732, 7.4809, 7.4809 Å; angles 114.74, 106.74, 106.74 degrees
With the nearest neighbours (Å) after each atom.
Fractional coordinates of all 12 atoms:
Pd: 0.7657 0.6066 0.9253  1 Be 2.57, 7 Mg 2.67-2.81
Pd: 0.2343 0.0747 0.3934  1 Be 2.57, 7 Mg 2.67-2.81
Pd: 0.2767 0.7762 0.7762  2 Be 2.62-2.63, 6 Mg 2.66-2.85, 2 Pd 2.93
Pd: 0.7233 0.2238 0.2238  2 Be 2.62-2.63, 6 Mg 2.66-2.85, 2 Pd 2.93
Pd: 0.7657 0.9253 0.6066  1 Be 2.57, 7 Mg 2.67-2.81
Pd: 0.2343 0.3934 0.0747  1 Be 2.57, 7 Mg 2.67-2.81
Mg: 0.5000 0.5000 0.5000  8 Pd 2.71-2.85, 4 Mg 2.95
Mg: 0.0000 0.3385 0.6615  8 Pd 2.76-2.81, 4 Mg 2.95-2.98
Mg: 0.5000 0.1732 0.8268  8 Pd 2.66-2.78
Mg: 0.0000 0.6615 0.3385  8 Pd 2.76-2.81, 4 Mg 2.95-2.98
Mg: 0.5000 0.8268 0.1732  8 Pd 2.66-2.78
Be: 0.0000 0.0000 0.0000  8 Pd 2.57-2.63

=====

Record 11
The following is a DFT calculation (PBE) of a relaxed MgBePd3 crystal.

Values from the calculation:
**Energy above the lowest structure with this stoichiometry**: 22 meV/atom
**M_tot**: 0.00 μB per cell
**Fermi-level density of states**: 0.006 states/eV per cell
**Formation enthalpy at 0 K**: -0.439 eV per atom

Cell lengths 4.2436, 4.2436, 4.2436 Å; angles 90.00, 90.00, 90.00 degrees
With the nearest neighbours (Å) after each atom.
Fractional coordinates of all 5 atoms:
Pd: 0.5000 0.0000 0.0000  2 Be 2.12
Pd: 0.0000 0.0000 0.5000  2 Be 2.12
Pd: 0.0000 0.5000 0.0000  2 Be 2.12
Mg: 0.5000 0.5000 0.5000  12 Pd 3.00
Be: 0.0000 0.0000 0.0000  6 Pd 2.12

=====

Record 12
The following is a DFT calculation (PBE) of a relaxed MgBe2Pd2 crystal.

Values from the calculation:
**Energy above the lowest structure with this stoichiometry**: 0 meV/atom
**M_tot**: 0.00 μB per cell
**Fermi-level density of states**: 3.769 states/eV per cell
**Formation enthalpy at 0 K**: -0.541 eV per atom

Cell lengths 6.7045, 6.7045, 2.8222 Å; angles 90.00, 90.00, 90.00 degrees
With the nearest neighbours (Å) after each atom.
Fractional coordinates of all 10 atoms:
Be: 0.6201 0.1201 0.0000  1 Be 2.28, 6 Pd 2.43-2.44
Be: 0.8799 0.6201 0.0000  1 Be 2.28, 6 Pd 2.43-2.44
Be: 0.3799 0.8799 0.0000  1 Be 2.28, 6 Pd 2.43-2.44
Be: 0.1201 0.3799 0.0000  1 Be 2.28, 6 Pd 2.43-2.44
Pd: 0.3295 0.1705 0.5000  6 Be 2.43-2.44
Pd: 0.8295 0.3295 0.5000  6 Be 2.43-2.44
Pd: 0.6705 0.8295 0.5000  6 Be 2.43-2.44
Pd: 0.1705 0.6705 0.5000  6 Be 2.43-2.44
Mg: 0.0000 0.0000 0.0000  4 Be 2.67, 2 Mg 2.82, 8 Pd 2.86
Mg: 0.5000 0.5000 0.0000  4 Be 2.67, 2 Mg 2.82, 8 Pd 2.86

=====

Record 13
The following is a DFT calculation (PBE) of a relaxed Mg2BePd crystal.

Values from the calculation:
**M_tot**: 0.00 μB per cell
**Fermi-level density of states**: 2.027 states/eV per cell
**Formation enthalpy at 0 K**: 0.141 eV per atom

Cell lengths 7.0820, 7.0820, 5.6687 Å; angles 51.34, 51.34, 90.00 degrees
With the nearest neighbours (Å) after each atom.
Fractional coordinates of all 8 atoms:
Mg: 0.6158 0.1250 0.2500  2 Be 2.55, 2 Pd 2.64, 2 Mg 2.66
Mg: 0.1342 0.6250 0.2500  2 Be 2.55, 2 Pd 2.64, 2 Mg 2.66
Mg: 0.8750 0.8658 0.7500  2 Be 2.55, 2 Pd 2.64, 2 Mg 2.66
Mg: 0.3750 0.3842 0.7500  2 Be 2.55, 2 Pd 2.64, 2 Mg 2.66
Pd: 0.0000 0.0000 0.0000  4 Mg 2.64, 2 Be 2.66
Pd: 0.7500 0.2500 0.5000  4 Mg 2.64, 2 Be 2.66
Be: 0.5000 0.5000 0.0000  4 Mg 2.55, 2 Pd 2.66
Be: 0.2500 0.7500 0.5000  4 Mg 2.55, 2 Pd 2.66

=====

Record 14
The following is a DFT calculation (PBE) of a relaxed MgBePd3 crystal.

Values from the calculation:
**Energy above the lowest structure with this stoichiometry**: 0 meV/atom
**M_tot**: 0.00 μB per cell
**Fermi-level density of states**: 2.229 states/eV per cell
**Formation enthalpy at 0 K**: -0.462 eV per atom

Cell lengths 5.6531, 5.8298, 6.5366 Å; angles 64.25, 56.96, 59.30 degrees
With the nearest neighbours (Å) after each atom.
Fractional coordinates of all 10 atoms:
Pd: 0.1010 0.7813 0.8347  2 Be 2.16-2.26
Pd: 0.4960 0.0553 0.4449  2 Be 2.13-2.36
Pd: 0.5294 0.2821 0.9541  2 Be 2.15-2.36
Pd: 0.0784 0.0524 0.3347  2 Be 2.22-2.31
Pd: 0.0917 0.3274 0.8453  2 Be 2.18-2.25
Pd: 0.0719 0.5792 0.3381  2 Be 2.23-2.31
Mg: 0.5593 0.5332 0.4128  1 Be 2.78, 8 Pd 2.80-2.97
Mg: 0.5904 0.8036 0.8496  5 Pd 2.61-2.91
Be: 0.9617 0.2236 0.6362  6 Pd 2.15-2.36
Be: 0.9033 0.0116 0.1103  6 Pd 2.13-2.36